AgBNO: optimized geometry, PBE.

Output
DFT total energy	-5.22	eV per atom
calculated density	5.94	g/cm³
V	83	Å³/cell

a b c (Å): 2.949 2.949 9.556
angles (deg): 90.00 90.00 90.00
Space group P4/nmm (No. 129, origin choice 2)
Symmetry-distinct sites (fractional):
Ag 0.250 0.250 0.193 x2
B 0.250 0.750 0.500 x2
N 0.250 0.250 0.432 x2
O 0.250 0.750 0.000 x2



AgBNO: optimized geometry, PBE.

Output
DFT total energy	-5.15	eV per atom
calculated density	6.07	g/cm³
V	81	Å³/cell

a b c (Å): 2.918 2.918 9.554
angles (deg): 90.00 90.00 90.00
Space group P4/nmm (No. 129, origin choice 2)
Symmetry-distinct sites (fractional):
Ag 0.250 0.250 0.195 x2
B 0.250 0.750 0.500 x2
N 0.250 0.250 0.568 x2
O 0.250 0.750 0.000 x2